VASP calculation (GGA-PBE) on a relaxed CePaGa5Os2 crystal.

It has space group P4/mmm (No. 123), with a = 4.245 Å, b = 4.245 Å, c = 9.839 Å, α = 90.00°, β = 90.00° and γ = 90.00°. Symmetry generates all atoms from Ce at (0.000, 0.000, 0.000), Pa at (0.000, 0.000, 0.500), Ga at (0.000, 0.500, 0.234), Ga at (0.500, 0.500, 0.000) and Os at (0.500, 0.500, 0.384).

The calculation puts the density of states at the Fermi level at 9.380 states/eV/cell. The volume is 177 Å³/cell. For the formation energy, the calculation gives -0.210 eV per atom.